Entry 1:
A plane-wave DFT calculation with PBE was carried out for a relaxed structure of Al2TlCr.

a = 5.1464 Å, b = 5.1464 Å, c = 5.1464 Å
α = 134.29°, β = 134.29°, γ = 66.63°
Site moments in Bohr magnetons follow the coordinates.
Atoms (fractional coordinates):
Cr  0.5000  0.5000  0.0000  2.40
Tl  0.7500  0.2500  0.5000  -0.07
Al  0.0000  0.0000  0.0000  -0.06
Al  0.2500  0.7500  0.5000  -0.05

Values from the calculation:
The calculated formation energy is 1.30 eV per formula unit. The calculation puts the distance to the lowest polymorph of the same formula at 158.8 meV/atom. Its space-group type is I-4m2 (119). The calculation puts the total energy at -4.545 eV/atom.

=====

Entry 2:
A plane-wave DFT calculation with PBE was carried out for a relaxed structure of Hg2TeF8.

a = 4.7875 Å, b = 6.2777 Å, c = 6.2777 Å
α = 76.34°, β = 102.94°, γ = 102.94°
Atoms (fractional coordinates):
Te  0.0000  0.0000  0.0000
Hg  0.3517  0.6509  0.6509
Hg  0.6483  0.3491  0.3491
F  0.2490  0.9465  0.3197
F  0.2490  0.3197  0.9465
F  0.7510  0.0535  0.6803
F  0.2084  0.4115  0.4115
F  0.7510  0.6803  0.0535
F  0.2638  0.8663  0.8663
F  0.7362  0.1337  0.1337
F  0.7916  0.5885  0.5885

Values from the calculation:
Its space-group type is C2/m (12). The calculation puts the total energy at -3.401 eV/atom.

=====

Entry 3:
A plane-wave DFT calculation with PBE was carried out for a relaxed structure of Pb2Br5N.

a = 9.5413 Å, b = 9.5413 Å, c = 9.5413 Å
α = 127.36°, β = 127.36°, γ = 77.66°
Site moments in Bohr magnetons follow the coordinates.
Atoms (fractional coordinates):
Pb  0.3288  0.1712  0.5000  -0.01
Pb  0.6712  0.8288  0.5000  -0.01
Pb  0.1712  0.6712  0.8423  -0.01
Pb  0.8288  0.3288  0.1577  -0.01
Br  0.9874  0.7695  0.5000  -0.03
Br  0.2695  0.4874  0.5000  -0.03
Br  0.7695  0.2695  0.7821  -0.03
Br  0.4874  0.9874  0.2179  -0.03
Br  0.0126  0.2305  0.5000  -0.03
Br  0.7305  0.5126  0.5000  -0.03
Br  0.2305  0.7305  0.2179  -0.03
Br  0.5126  0.0126  0.7821  -0.03
Br  0.0000  0.0000  0.0000  0.00
Br  0.5000  0.5000  0.0000  0.00
N  0.7500  0.7500  0.0000  1.92
N  0.2500  0.2500  0.0000  1.92

Values from the calculation:
Its space-group type is I4/mcm (140). The calculation puts the total energy at -2.933 eV/atom.

=====

Record-wise theoretical density values, in g/cm3: 7.498 6.432 5.168